! KMo2Rh (PBE-GGA, relaxed); values from VASP
&SYSTEM
  ibrav = 0, nat = 4, ntyp = 3
/
ATOMIC_SPECIES
K 39.10 K.upf
Mo 95.94 Mo.upf
Rh 102.91 Rh.upf
ATOMIC_POSITIONS crystal
K 0.247 0.247 0.260
Mo 0.043 0.043 0.887
Mo 0.737 0.737 0.740
Rh 0.473 0.473 0.612
CELL_PARAMETERS angstrom
-3.595 -3.056 -0.330
-1.019 -4.609 -0.310
-0.917 -1.432 7.058
! Energy relative to the elements ... 3.1 eV per formula unit
! Fermi-level density of states ... 0.803 states/eV/atom
! Excess energy over the best structure of this formula in the dataset ... 198 meV per atom
! SG ... Cm

***

! KMoRh2 (PBE-GGA, relaxed); values from VASP
&SYSTEM
  ibrav = 0, nat = 4, ntyp = 3
/
ATOMIC_SPECIES
Rh 102.91 Rh.upf
Mo 95.94 Mo.upf
K 39.10 K.upf
ATOMIC_POSITIONS crystal
Rh 0.500 0.500 0.223
Rh 0.000 0.000 0.001
Mo 0.500 0.500 0.792
K 0.000 0.000 0.484
CELL_PARAMETERS angstrom
-1.627 0.152 -2.211
-0.418 -2.172 1.632
-6.957 5.469 5.494
! Energy relative to the elements ... 2.7 eV per formula unit
! Fermi-level density of states ... 1.227 states/eV/atom
! Excess energy over the best structure of this formula in the dataset ... 417 meV per atom
! SG ... Cmm2

***

! KMo2Rh (PBE-GGA, relaxed); values from VASP
&SYSTEM
  ibrav = 0, nat = 4, ntyp = 3
/
ATOMIC_SPECIES
Mo 95.94 Mo.upf
Rh 102.91 Rh.upf
K 39.10 K.upf
ATOMIC_POSITIONS crystal
Mo 0.500 0.500 0.256
Mo 0.000 0.000 0.054
Rh 0.000 0.000 0.458
K 0.500 0.500 0.733
CELL_PARAMETERS angstrom
-0.696 1.868 2.028
-2.165 -1.808 -0.362
3.871 -6.008 6.863
! Energy relative to the elements ... 2.3 eV per formula unit
! Fermi-level density of states ... 0.695 states/eV/atom
! Excess energy over the best structure of this formula in the dataset ... 0 meV per atom
! SG ... Cmm2

***

! KMoRh2 (PBE-GGA, relaxed); values from VASP
&SYSTEM
  ibrav = 0, nat = 4, ntyp = 3
/
ATOMIC_SPECIES
Mo 95.94 Mo.upf
K 39.10 K.upf
Rh 102.91 Rh.upf
ATOMIC_POSITIONS crystal
Mo 0.750 0.750 0.750
K 0.500 0.500 0.500
Rh 0.000 0.000 0.000
Rh 0.250 0.250 0.250
CELL_PARAMETERS angstrom
4.567 0.000 0.000
2.284 3.955 0.000
2.284 1.318 3.729
! Energy relative to the elements ... 4.6 eV per formula unit
! Fermi-level density of states ... 1.329 states/eV/atom
! Excess energy over the best structure of this formula in the dataset ... 882 meV per atom
! SG ... F-43m

***

! KMo2Rh (PBE-GGA, relaxed); values from VASP
&SYSTEM
  ibrav = 0, nat = 4, ntyp = 3
/
ATOMIC_SPECIES
Mo 95.94 Mo.upf
Rh 102.91 Rh.upf
K 39.10 K.upf
ATOMIC_POSITIONS crystal
Mo 0.000 0.000 0.059
Mo 0.000 0.000 0.441
Rh 0.500 0.500 0.250
K 0.500 0.500 0.750
CELL_PARAMETERS angstrom
2.728 0.000 0.000
0.000 2.728 0.000
0.000 0.000 10.336
! Energy relative to the elements ... 3.0 eV per formula unit
! Fermi-level density of states ... 0.994 states/eV/atom
! Excess energy over the best structure of this formula in the dataset ... 183 meV per atom
! SG ... P4/mmm

***

! KMo2Rh (PBE-GGA, relaxed); values from VASP
&SYSTEM
  ibrav = 0, nat = 4, ntyp = 3
/
ATOMIC_SPECIES
Mo 95.94 Mo.upf
Rh 102.91 Rh.upf
K 39.10 K.upf
ATOMIC_POSITIONS crystal
Mo 0.500 0.500 0.000
Mo 0.000 0.000 0.000
Rh 0.500 0.000 0.500
K 0.000 0.500 0.500
CELL_PARAMETERS angstrom
-0.841 1.617 2.386
-0.389 -3.861 2.480
4.897 0.428 1.435
! Energy relative to the elements ... 4.9 eV per formula unit
! Fermi-level density of states ... 1.139 states/eV/atom
! Excess energy over the best structure of this formula in the dataset ... 650 meV per atom
! SG ... Pmmm